(1)
First-principles (PBE-GGA) data for an optimized crystal structure of TlInBr, as listed in Alexandria.

abc: 5.4087 5.4087 5.4087
angles: 60.00 60.00 60.00
With the nearest neighbours (Å) after each atom.
Fractional positions:
Tl: 0.0000 0.0000 0.0000  4 In 3.31
In: 0.7500 0.7500 0.7500  4 Br 3.31, 4 Tl 3.31
Br: 0.5000 0.5000 0.5000  4 In 3.31

Computed properties:
excess energy over the best structure of this formula in the dataset = 171 meV per atom
space group = F-43m
formation energy without anion corrections = -157 meV per atom



(2)
First-principles (PBE-GGA) data for an optimized crystal structure of CaZn2Pd, as listed in Alexandria.

abc: 4.6166 4.6166 9.5060
angles: 75.95 75.95 90.00
With the nearest neighbours (Å) after each atom.
Fractional positions:
Pd: 0.0000 0.0000 0.0000  4 Zn 2.53
Pd: 0.7500 0.2500 0.5000  4 Zn 2.53
Zn: 0.9350 0.6250 0.2500  2 Zn 2.37, 2 Pd 2.53
Zn: 0.8750 0.0650 0.7500  2 Zn 2.37, 2 Pd 2.53
Zn: 0.8150 0.1250 0.2500  2 Zn 2.37, 2 Pd 2.53
Zn: 0.3750 0.1850 0.7500  2 Zn 2.37, 2 Pd 2.53
Ca: 0.5000 0.5000 0.0000  8 Zn 3.23-3.61, 4 Pd 3.26
Ca: 0.2500 0.7500 0.5000  8 Zn 3.23-3.61, 4 Pd 3.26

Computed properties:
space group = I-42d
E_form = -244 meV per atom



(3)
First-principles (PBE-GGA) data for an optimized crystal structure of SrPuAg2F8, as listed in Alexandria.

abc: 4.0246 5.9356 8.1044
angles: 90.00 90.00 90.01
With the nearest neighbours (Å) after each atom.
Fractional positions:
F: 0.5000 0.2094 0.0000  2 Pu 2.36-2.37, 1 F 2.49
F: 0.0000 0.2233 0.7808  1 Pu 2.22
F: 0.5000 0.7906 0.0000  2 Pu 2.36-2.37, 1 F 2.49
F: 0.5000 0.7601 0.5000  2 Ag 2.44, 2 Sr 2.47
F: 0.0000 0.7767 0.2192  1 Pu 2.22
F: 0.9999 0.2233 0.2192  1 Pu 2.22
F: 0.0001 0.7767 0.7808  1 Pu 2.22
F: 0.5000 0.2399 0.5000  2 Ag 2.44, 2 Sr 2.47
Pu: 0.0000 0.0000 0.0000  8 F 2.22-2.37
Ag: 0.5000 0.5000 0.7334  6 F 2.44-2.63
Ag: 0.5000 0.5000 0.2666  6 F 2.44-2.63
Sr: 0.0000 0.0000 0.5000  8 F 2.47-2.63

Computed properties:
space group = Pmmm
formation energy without anion corrections = -2746 meV per atom



(4)
First-principles (PBE-GGA) data for an optimized crystal structure of ZrNbBr2, as listed in Alexandria.

abc: 9.5585 9.5585 9.5585
angles: 19.68 19.68 19.68
With the nearest neighbours (Å) after each atom.
Fractional positions:
Br: 0.0942 0.0942 0.0942  1 Nb 2.65, 3 Zr 2.78
Br: 0.9058 0.9058 0.9058  1 Nb 2.65, 3 Zr 2.78
Zr: 0.5000 0.5000 0.5000  6 Br 2.78
Nb: 0.0000 0.0000 0.0000  2 Br 2.65

Computed properties:
excess energy over the best structure of this formula in the dataset = 0 meV per atom
space group = R-3m
formation energy without anion corrections = -187 meV per atom



(5)
First-principles (PBE-GGA) data for an optimized crystal structure of RbCd2Re, as listed in Alexandria.

abc: 5.2275 5.2275 5.2275
angles: 60.00 60.00 60.00
With the nearest neighbours (Å) after each atom.
Fractional positions:
Cd: 0.7500 0.7500 0.7500  4 Re 3.20, 4 Rb 3.20
Cd: 0.2500 0.2500 0.2500  4 Re 3.20, 4 Rb 3.20
Rb: 0.0000 0.0000 0.0000  8 Cd 3.20
Re: 0.5000 0.5000 0.5000  8 Cd 3.20

Computed properties:
excess energy over the best structure of this formula in the dataset = 75 meV per atom
space group = Fm-3m
E_form = 1214 meV per atom



(6)
First-principles (PBE-GGA) data for an optimized crystal structure of Ce2CoTcN5, as listed in Alexandria.

abc: 3.3675 6.9736 9.4123
angles: 90.00 90.00 103.97
With the nearest neighbours (Å) after each atom.
Fractional positions:
N: 0.6545 0.3089 0.5102  1 Tc 1.93
N: 0.3031 0.6062 0.6526  2 Tc 2.13
N: 0.3088 0.6177 0.3719  1 Co 1.92
N: 0.6969 0.3938 0.1526  2 Tc 2.13
N: 0.6912 0.3823 0.8719  1 Co 1.92
N: 0.3455 0.6911 0.0102  1 Tc 1.93
N: 0.0351 0.0702 0.0232  2 Co 1.82
N: 0.4966 0.9931 0.2810  1 Co 1.88
N: 0.9649 0.9298 0.5232  2 Co 1.82
N: 0.5034 0.0069 0.7810  1 Co 1.88
Tc: 0.7969 0.5938 0.5136  5 N 1.93-2.15
Tc: 0.2031 0.4062 0.0136  5 N 1.93-2.15
Co: 0.4361 0.8723 0.4609  4 N 1.82-1.92
Co: 0.5639 0.1277 0.9609  4 N 1.82-1.92
Ce: 0.8749 0.7498 0.1963  8 N 2.44-2.71
Ce: 0.8775 0.7549 0.8143  7 N 2.42-2.58
Ce: 0.1225 0.2451 0.3143  7 N 2.42-2.58
Ce: 0.1251 0.2502 0.6963  8 N 2.44-2.71

Computed properties:
space group = Cmc2_1
formation energy without anion corrections = -666 meV per atom



(7)
First-principles (PBE-GGA) data for an optimized crystal structure of Nd5Dy4In, as listed in Alexandria.

abc: 5.9922 8.1060 8.1060
angles: 82.15 68.31 68.31
With the nearest neighbours (Å) after each atom.
Fractional positions:
Nd: 0.1399 0.6244 0.0001  1 In 3.17, 3 Nd 3.29-3.53, 2 Dy 3.33
Nd: 0.6720 0.0000 0.0000  2 In 2.87-3.12
Nd: 0.1399 0.9999 0.6244  1 In 3.17, 3 Nd 3.29-3.53, 2 Dy 3.33
Nd: 0.7643 0.0001 0.3756  1 In 3.17, 3 Nd 3.29-3.53, 2 Dy 3.33
Nd: 0.7643 0.3756 0.9999  1 In 3.17, 3 Nd 3.29-3.53, 2 Dy 3.33
Dy: 0.4593 0.3179 0.6822  3 Nd 3.33-3.62
Dy: 0.7772 0.6822 0.6821  3 Nd 3.33-3.62
Dy: 0.1415 0.3178 0.3179  3 Nd 3.33-3.62
Dy: 0.4594 0.6821 0.3178  3 Nd 3.33-3.62
In: 0.1925 0.0000 0.0000  6 Nd 2.87-3.17

Computed properties:
excess energy over the best structure of this formula in the dataset = 147 meV per atom
space group = I4mm
E_form = 140 meV per atom



(8)
First-principles (PBE-GGA) data for an optimized crystal structure of FeNiW2, as listed in Alexandria.

abc: 3.1397 3.1426 5.5193
angles: 90.00 90.00 90.00
With the nearest neighbours (Å) after each atom.
Fractional positions:
Ni: 0.5000 0.5000 0.7452  5 W 2.55-2.61, 4 Fe 2.57
W: 0.0000 0.0000 0.9717  1 Fe 2.54, 4 Ni 2.55, 4 W 2.77
W: 0.5000 0.5000 0.2720  4 Fe 2.58, 1 Ni 2.61, 4 W 2.77
Fe: 0.0000 0.0000 0.5111  5 W 2.54-2.58, 4 Ni 2.57

Computed properties:
excess energy over the best structure of this formula in the dataset = 54 meV per atom
space group = P4mm
E_form = 130 meV per atom



Result set for D(E_F): 0.8817; 0.6115; 0.6836; 0.7812; 0.4334; 0.9004; 1.3528; 0.9619 states/eV per atom, one per record in the order listed.
Result set for total magnetization: 0.0; 0.0; 4.0; 0.0; 2.3; 0.0; 0.0; 1.2 μB/f.u., one per record in the order listed.